[1]
An optimized crystal structure of CaCN2F. Source: Alexandria, functional PBE-GGA.

Density of states at the Fermi level, states/eV/f.u.: 1.0
SG: P4/mmm (123)

a = 3.2082 Å, b = 3.2082 Å, c = 4.8453 Å
α = 90.00°, β = 90.00°, γ = 90.00°
Closest atoms and distances in Å follow each position.
Atoms (fractional coordinates):
N 0.0000 0.5000 0.0000  2 C 1.60
C 0.0000 0.0000 0.0000  4 N 1.60
N 0.5000 0.0000 0.0000  2 C 1.60
Ca 0.5000 0.5000 0.5000  4 F 2.27
F 0.0000 0.0000 0.5000  4 Ca 2.27, 2 C 2.42

[2]
An optimized crystal structure of Ca2CN2F2. Source: Alexandria, functional PBE-GGA.

Density of states at the Fermi level, states/eV/f.u.: 0.0
SG: C2/m (12)

a = 3.7887 Å, b = 3.7915 Å, c = 8.1942 Å
α = 90.30°, β = 90.00°, γ = 119.98°
Closest atoms and distances in Å follow each position.
Atoms (fractional coordinates):
C 0.0000 0.0000 0.5000  2 N 1.24
Ca 0.3316 0.6633 0.7990  4 F 2.35-2.44, 3 N 2.50
N 0.9970 0.9941 0.6510  1 C 1.24
Ca 0.6684 0.3367 0.2010  4 F 2.35-2.44, 3 N 2.50
F 0.3343 0.6686 0.0966  4 Ca 2.35-2.44
F 0.6657 0.3314 0.9034  4 Ca 2.35-2.44
N 0.0030 0.0059 0.3490  1 C 1.24

[3]
An optimized crystal structure of CaCN2F. Source: Alexandria, functional PBE-GGA.

Density of states at the Fermi level, states/eV/f.u.: 5.0
SG: P4/mmm (123)

a = 4.9011 Å, b = 4.9011 Å, c = 4.1938 Å
α = 90.00°, β = 90.00°, γ = 90.00°
Closest atoms and distances in Å follow each position.
Atoms (fractional coordinates):
N 0.5000 0.0000 0.0000  2 Ca 2.45
C 0.5000 0.5000 0.5000  8 N 3.23, 4 F 3.47
F 0.0000 0.0000 0.5000  2 Ca 2.10
Ca 0.0000 0.0000 0.0000  2 F 2.10
N 0.0000 0.5000 0.0000  2 Ca 2.45

[4]
An optimized crystal structure of CaCOF2. Source: Alexandria, functional PBE-GGA.

Density of states at the Fermi level, states/eV/f.u.: 7.5
SG: P4/mmm (123)

a = 4.2592 Å, b = 4.2592 Å, c = 4.6511 Å
α = 90.00°, β = 90.00°, γ = 90.00°
Closest atoms and distances in Å follow each position.
Atoms (fractional coordinates):
Ca 0.0000 0.0000 0.0000  4 F 2.13, 2 O 2.33
O 0.0000 0.0000 0.5000  2 Ca 2.33
C 0.5000 0.5000 0.5000  4 O 3.01, 8 F 3.15
F 0.0000 0.5000 0.0000  2 Ca 2.13
F 0.5000 0.0000 0.0000  2 Ca 2.13

no.,E_form (uncorrected) (meV per atom)
1,244
2,-2193
3,1827
4,-182